[1]
Below is an optimized crystal structure of CuAg, with properties calculated at the GGA-PBE level.

Results
The electronic total energy comes out at -31.7 eV for the cell shown. The calculation puts the calculated volume at 147.8 Å³ per cell. Its space-group type is Pmmm (47).

```
CuAg
1.0
-1.117 -1.390 -2.138
-0.414 -3.061 2.207
-12.715 4.433 3.762
Cu Ag
5 5
Direct
0.500 0.500 0.500
0.500 0.500 0.901
0.500 0.500 0.099
0.000 0.000 0.188
0.000 0.000 0.812
0.000 0.000 0.400
0.500 0.500 0.287
0.500 0.500 0.713
0.000 0.000 0.600
0.000 0.000 0.000
```

[2]
Below is an optimized crystal structure of CuAg, with properties calculated at the GGA-PBE level.

Results
The electronic total energy comes out at -19.0 eV for the cell shown. The calculation puts the calculated volume at 88.6 Å³ per cell. Its space-group type is Pmm2 (25).

```
CuAg
1.0
2.785 0.000 0.000
0.000 3.801 0.000
0.000 0.000 8.368
Cu Ag
3 3
Direct
0.500 0.000 0.509
0.500 0.000 0.837
0.000 0.500 0.988
0.000 0.500 0.674
0.500 0.000 0.151
0.000 0.500 0.341
```

[3]
Below is an optimized crystal structure of Cu4Ag5, with properties calculated at the GGA-PBE level.

Results
The calculation puts the calculated volume at 137.7 Å³ per cell. Its space-group type is C2/m (12). As for the distance to the lowest polymorph of the same formula: 61 meV/atom.

```
Cu4Ag5
1.0
-5.471 0.915 -4.767
-5.701 -1.850 -4.192
-4.008 1.431 5.275
Ag Cu
5 4
Direct
0.611 0.611 0.657
0.832 0.832 0.982
0.500 0.500 0.000
0.168 0.168 0.018
0.389 0.389 0.343
0.058 0.058 0.336
0.279 0.279 0.652
0.942 0.942 0.664
0.721 0.721 0.348
```